No. 1
# DyErSbF2

A geometry-optimized DyErSbF2 structure (PBE-GGA, OQMD).

The structure belongs to space group P3m1 (No. 156); the cell edges are 4.0154, 4.0154 and 6.9034 Å and the angles 90.00°, 90.00° and 120.00°. Symmetry generates all atoms from Dy at (0.0000, 0.0000, 0.0000), Er at (0.6667, 0.3333, 0.4585), Sb at (0.3333, 0.6667, 0.7271), F at (0.0000, 0.0000, 0.3366) and F at (0.6667, 0.3333, 0.1282).

The total energy comes out at -0.2141 Ha/atom. For the volume, the calculation gives 19.28 A^3/atom. For the total magnetization, the calculation gives 0.3 μB/f.u. As for the crystal system: trigonal.

No. 2
# PrNdSc2Sn2

A geometry-optimized PrNdSc2Sn2 structure (PBE-GGA, OQMD).

The structure belongs to space group I4mm (No. 107); the cell edges are 4.512, 4.512 and 16.694 Å and the angles 90.00°, 90.00° and 90.00°. Symmetry generates all atoms from Pr at (0.000, 0.000, 0.000), Nd at (0.000, 0.000, 0.351), Sc at (0.000, 0.500, 0.176), Sn at (0.000, 0.000, 0.550) and Sn at (0.000, 0.000, 0.801).

The total energy comes out at -0.2089 Ha/atom. For the volume, the calculation gives 28.32 A^3/atom. For the total magnetization, the calculation gives 1.6 μB/f.u. As for the crystal system: tetragonal.

No. 3
# KGaSnPt

A geometry-optimized KGaSnPt structure (PBE-GGA, OQMD).

The structure belongs to space group Amm2 (No. 38); the cell edges are 7.568, 4.351 and 12.716 Å and the angles 90.00°, 90.00° and 90.00°. Symmetry generates all atoms from K at (0.000, 0.000, 0.000), K at (0.500, 0.000, 0.094), Ga at (0.314, 0.000, 0.365), Sn at (0.202, 0.000, 0.718), Pt at (0.000, 0.000, 0.284) and Pt at (0.500, 0.000, 0.844).

The total energy comes out at -0.1464 Ha/atom. As for the distance to the lowest polymorph of the same formula: 0.013 eV per atom. For the volume, the calculation gives 26.17 A^3/atom. For the total magnetization, the calculation gives 0.0 μB/f.u. As for the crystal system: orthorhombic.

No. 4
# LiYSiPd

A geometry-optimized LiYSiPd structure (PBE-GGA, OQMD).

The structure belongs to space group F-43m (No. 216); the cell edges are 6.467, 6.467 and 6.467 Å and the angles 90.00°, 90.00° and 90.00°. Symmetry generates all atoms from Li at (0.000, 0.000, 0.000), Y at (0.250, 0.250, 0.750), Si at (0.000, 0.000, 0.500) and Pd at (0.250, 0.250, 0.250).

The total energy comes out at -0.1972 Ha/atom. As for the distance to the lowest polymorph of the same formula: 0.067 eV per atom. For the volume, the calculation gives 16.91 A^3/atom. For the total magnetization, the calculation gives 0.0 μB/f.u. As for the crystal system: cubic.

No. 5
# Li4AlAg2Sb

A geometry-optimized Li4AlAg2Sb structure (PBE-GGA, OQMD).

The structure belongs to space group P-4m2 (No. 115); the cell edges are 4.486, 4.486 and 6.563 Å and the angles 90.00°, 90.00° and 90.00°. Symmetry generates all atoms from Li at (0.000, 0.000, 0.000), Li at (0.000, 0.500, 0.243), Li at (0.500, 0.500, 0.500), Al at (0.500, 0.500, 0.000), Ag at (0.000, 0.500, 0.777) and Sb at (0.000, 0.000, 0.500).

The total energy comes out at -0.1103 Ha/atom. For the volume, the calculation gives 16.51 A^3/atom. As for the crystal system: tetragonal.

No. 6
# BeCd2Fe

A geometry-optimized BeCd2Fe structure (PBE-GGA, OQMD).

The structure belongs to space group F-43m (No. 216); the cell edges are 6.186, 6.186 and 6.186 Å and the angles 90.00°, 90.00° and 90.00°. Symmetry generates all atoms from Be at (0.000, 0.000, 0.000), Cd at (0.000, 0.000, 0.500), Cd at (0.250, 0.250, 0.750) and Fe at (0.250, 0.250, 0.250).

The total energy comes out at -0.1086 Ha/atom. For the volume, the calculation gives 14.80 A^3/atom. For the total magnetization, the calculation gives 2.2 μB/f.u. As for the crystal system: cubic.

No. 7
# YAlAu

A geometry-optimized YAlAu structure (PBE-GGA, OQMD).

The structure belongs to space group F-43m (No. 216); the cell edges are 6.607, 6.607 and 6.607 Å and the angles 90.00°, 90.00° and 90.00°. Symmetry generates all atoms from Y at (0.000, 0.000, 0.000), Al at (0.000, 0.000, 0.500) and Au at (0.250, 0.250, 0.750).

The total energy comes out at -0.1869 Ha/atom. For the volume, the calculation gives 24.04 A^3/atom. For the total magnetization, the calculation gives 0.3 μB/f.u. As for the crystal system: cubic.

No. 8
# Ta2Ni3Mo4C3

A geometry-optimized Ta2Ni3Mo4C3 structure (PBE-GGA, OQMD).

The structure belongs to space group C2/c (No. 15); the cell edges are 9.163, 5.286 and 13.029 Å and the angles 90.00°, 103.61° and 90.00°. Symmetry generates all atoms from Ta at (0.046, 0.083, 0.389), Ni at (0.000, 0.498, 0.250), Ni at (0.206, 0.122, 0.750), Mo at (0.112, 0.415, 0.587), Mo at (0.222, 0.417, 0.913), C at (0.079, 0.237, 0.000) and C at (0.250, 0.250, 0.500).

The total energy comes out at -0.3448 Ha/atom. For the volume, the calculation gives 12.78 A^3/atom. For the total magnetization, the calculation gives 0.1 μB/f.u. As for the crystal system: monoclinic.